No. 1
A relaxed Y4GaIr3 crystal. Source: Alexandria, functional PBE-GGA.

Summary:
Crystal system ... orthorhombic
Energy of formation from the pure elements ... -0.76 eV/atom
Total energy ... -7.690 eV per atom

The structure in CIF format:
```
data_Y4GaIr3
_chemical_formula_sum 'Y4 Ga1 Ir3'
_cell_length_a 3.891
_cell_length_b 4.321
_cell_length_c 10.614
_cell_angle_alpha 90.00
_cell_angle_beta 90.00
_cell_angle_gamma 90.00
_symmetry_space_group_name_H-M 'P m m 2'
_symmetry_Int_Tables_number 25
_symmetry_space_group_name_Hall 'P 2 -2'
loop_
_atom_site_label
_atom_site_type_symbol
_atom_site_fract_x
_atom_site_fract_y
_atom_site_fract_z
Y1 Y 0.000 0.000 0.000
Y2 Y 0.000 0.500 0.275
Y3 Y 0.500 0.000 0.481
Y4 Y 0.500 0.500 0.780
Ga1 Ga 0.000 0.000 0.701
Ir1 Ir 0.000 0.500 0.567
Ir2 Ir 0.500 0.000 0.213
Ir3 Ir 0.500 0.500 0.051
```

---

No. 2
A relaxed Y2Ga5Ir3 crystal. Source: Alexandria, functional PBE-GGA.

Summary:
Crystal system ... orthorhombic
Offset from the most stable computed form ... 61 meV/atom
Energy of formation from the pure elements ... -0.69 eV/atom
Total energy ... -6.159 eV per atom

The structure in CIF format:
```
data_Y2Ga5Ir3
_chemical_formula_sum 'Y8 Ga20 Ir12'
_cell_length_a 4.309
_cell_length_b 24.557
_cell_length_c 6.845
_cell_angle_alpha 90.00
_cell_angle_beta 90.00
_cell_angle_gamma 90.00
_symmetry_space_group_name_H-M 'C m c 21'
_symmetry_Int_Tables_number 36
_symmetry_space_group_name_Hall 'C 2c -2'
loop_
_atom_site_label
_atom_site_type_symbol
_atom_site_fract_x
_atom_site_fract_y
_atom_site_fract_z
Y1 Y 0.000 0.021 0.000
Y2 Y 0.000 0.324 0.944
Ga1 Ga 0.000 0.101 0.639
Ga2 Ga 0.000 0.206 0.131
Ga3 Ga 0.000 0.210 0.731
Ga4 Ga 0.000 0.375 0.491
Ga5 Ga 0.000 0.448 0.827
Ir1 Ir 0.000 0.108 0.258
Ir2 Ir 0.000 0.273 0.428
Ir3 Ir 0.000 0.449 0.215
```

---

No. 3
A relaxed Y2ZnGa2Ir5 crystal. Source: Alexandria, functional PBE-GGA.

Summary:
Crystal system ... tetragonal
Energy of formation from the pure elements ... -0.54 eV/atom
Total energy ... -6.998 eV per atom

The structure in CIF format:
```
data_Y2ZnGa2Ir5
_chemical_formula_sum 'Y4 Zn2 Ga4 Ir10'
_cell_length_a 9.717
_cell_length_b 9.717
_cell_length_c 3.596
_cell_angle_alpha 90.00
_cell_angle_beta 90.00
_cell_angle_gamma 90.00
_symmetry_space_group_name_H-M 'P 4/m b m'
_symmetry_Int_Tables_number 127
_symmetry_space_group_name_Hall '-P 4 2ab'
loop_
_atom_site_label
_atom_site_type_symbol
_atom_site_fract_x
_atom_site_fract_y
_atom_site_fract_z
Y1 Y 0.174 0.326 0.000
Zn1 Zn 0.000 0.000 0.000
Ga1 Ga 0.126 0.626 0.000
Ir1 Ir 0.000 0.500 0.500
Ir2 Ir 0.063 0.798 0.500
```

---

No. 4
A relaxed YZnGaIr2 crystal. Source: Alexandria, functional PBE-GGA.

Summary:
Crystal system ... orthorhombic
Energy of formation from the pure elements ... -0.46 eV/atom
Total energy ... -6.153 eV per atom

The structure in CIF format:
```
data_YZnGaIr2
_chemical_formula_sum 'Y4 Zn4 Ga4 Ir8'
_cell_length_a 4.466
_cell_length_b 13.658
_cell_length_c 6.159
_cell_angle_alpha 90.00
_cell_angle_beta 90.00
_cell_angle_gamma 90.00
_symmetry_space_group_name_H-M 'C m c m'
_symmetry_Int_Tables_number 63
_symmetry_space_group_name_Hall '-C 2c 2'
loop_
_atom_site_label
_atom_site_type_symbol
_atom_site_fract_x
_atom_site_fract_y
_atom_site_fract_z
Y1 Y 0.000 0.120 0.250
Zn1 Zn 0.000 0.500 0.000
Ga1 Ga 0.000 0.176 0.750
Ir1 Ir 0.000 0.320 0.026
```

---

No. 5
A relaxed YZn2GaIr crystal. Source: Alexandria, functional PBE-GGA.

Summary:
Crystal system ... tetragonal
Energy of formation from the pure elements ... 1.01 eV/atom
Total energy ... -3.173 eV per atom

The structure in CIF format:
```
data_YZn2GaIr
_chemical_formula_sum 'Y1 Zn2 Ga1 Ir1'
_cell_length_a 5.563
_cell_length_b 5.563
_cell_length_c 5.047
_cell_angle_alpha 90.00
_cell_angle_beta 90.00
_cell_angle_gamma 90.00
_symmetry_space_group_name_H-M 'P 4/m m m'
_symmetry_Int_Tables_number 123
_symmetry_space_group_name_Hall '-P 4 2'
loop_
_atom_site_label
_atom_site_type_symbol
_atom_site_fract_x
_atom_site_fract_y
_atom_site_fract_z
Y1 Y 0.000 0.000 0.000
Zn1 Zn 0.000 0.500 0.000
Ga1 Ga 0.500 0.500 0.500
Ir1 Ir 0.000 0.000 0.500
```

---

No. 6
A relaxed Y2ZnGa3Ir4 crystal. Source: Alexandria, functional PBE-GGA.

Summary:
Crystal system ... tetragonal
Energy of formation from the pure elements ... -0.66 eV/atom
Total energy ... -6.530 eV per atom

The structure in CIF format:
```
data_Y2ZnGa3Ir4
_chemical_formula_sum 'Y2 Zn1 Ga3 Ir4'
_cell_length_a 4.183
_cell_length_b 4.183
_cell_length_c 10.440
_cell_angle_alpha 90.00
_cell_angle_beta 90.00
_cell_angle_gamma 90.00
_symmetry_space_group_name_H-M 'P -4 m 2'
_symmetry_Int_Tables_number 115
_symmetry_space_group_name_Hall 'P -4 -2'
loop_
_atom_site_label
_atom_site_type_symbol
_atom_site_fract_x
_atom_site_fract_y
_atom_site_fract_z
Y1 Y 0.000 0.500 0.240
Zn1 Zn 0.000 0.000 0.500
Ga1 Ga 0.000 0.500 0.871
Ga2 Ga 0.500 0.500 0.500
Ir1 Ir 0.000 0.000 0.000
Ir2 Ir 0.000 0.500 0.638
Ir3 Ir 0.500 0.500 0.000
```

---

no.,spin magnetization (μB per formula unit)
1,0.000
2,0.000
3,0.000
4,0.000
5,0.000
6,0.000